BaThOs (PBE, relaxed); SG = F-43m; total DFT energy (no corrections) = -6.470 eV per atom
1.0
0.000 3.589 3.589
3.589 0.000 3.589
3.589 3.589 0.000
Ba Th Os
1 1 1
direct
0.000 0.000 0.000
0.500 0.500 0.500
0.250 0.250 0.250



BaTlOs (PBE, relaxed); SG = F-43m; total DFT energy (no corrections) = -4.351 eV per atom
1.0
0.000 3.533 3.533
3.533 0.000 3.533
3.533 3.533 0.000
Ba Tl Os
1 1 1
direct
0.000 0.000 0.000
0.500 0.500 0.500
0.250 0.250 0.250



BaUOs (PBE, relaxed); SG = F-43m; total DFT energy (no corrections) = -7.226 eV per atom
1.0
0.000 3.509 3.509
3.509 0.000 3.509
3.509 3.509 0.000
Ba U Os
1 1 1
direct
0.000 0.000 0.000
0.500 0.500 0.500
0.250 0.250 0.250



BaOs2W2 (PBE, relaxed); SG = Cmcm; total DFT energy (no corrections) = -9.446 eV per atom
1.0
2.148 -5.638 0.000
2.148 5.638 0.000
0.000 0.000 9.521
Ba Os W
2 4 4
direct
0.077 0.923 0.750
0.923 0.077 0.250
0.393 0.607 0.540
0.393 0.607 0.960
0.607 0.393 0.040
0.607 0.393 0.460
0.212 0.788 0.105
0.212 0.788 0.395
0.788 0.212 0.605
0.788 0.212 0.895